No. 1
First-principles (PBE) data for Ho2TmAgC after structural relaxation, as listed in Alexandria.

Lattice parameters (Å, degrees): 4.891 4.891 4.771 90.00 90.00 90.00
Positions (direct):
Ho  0.000  0.500  0.000
Ho  0.500  0.000  0.000
Tm  0.000  0.000  0.500
Ag  0.500  0.500  0.500
C  0.000  0.000  0.000

## Properties
* ΔH_f (0 K): -1.175 eV/f.u.
* symmetry: P4/mmm
* N(E_F): 6.9 states/eV/cell
* uncorrected energy: -26.88 eV per cell
* mass density: 9.00 g/cm³

***

No. 2
First-principles (PBE) data for AgCI3 after structural relaxation, as listed in Alexandria.

Lattice parameters (Å, degrees): 5.148 5.148 5.148 90.00 90.00 90.00
Positions (direct):
Ag  0.000  0.000  0.000
C  0.500  0.500  0.500
I  0.000  0.500  0.500
I  0.500  0.000  0.500
I  0.500  0.500  0.000

## Properties
* excess energy over the best structure of this formula in the dataset: 0.00 kcal/mol of atoms
* symmetry: Pm-3m
* N(E_F): 1.5 states/eV/cell
* ΔE_f (raw): 1.12 eV per atom
* uncorrected energy: -11.14 eV per cell
* mass density: 6.09 g/cm³

***

No. 3
First-principles (PBE) data for Ag2CI after structural relaxation, as listed in Alexandria.

Lattice parameters (Å, degrees): 4.859 4.859 4.859 60.00 60.00 60.00
Positions (direct):
Ag  0.250  0.250  0.250
Ag  0.750  0.750  0.750
C  0.000  0.000  0.000
I  0.500  0.500  0.500

## Properties
* excess energy over the best structure of this formula in the dataset: 13.61 kcal/mol of atoms
* symmetry: Fm-3m
* N(E_F): 2.9 states/eV/cell
* ΔE_f (raw): 1.70 eV per atom
* uncorrected energy: -9.70 eV per cell
* mass density: 7.26 g/cm³

***

No. 4
First-principles (PBE) data for AgCI2 after structural relaxation, as listed in Alexandria.

Lattice parameters (Å, degrees): 8.001 8.001 8.001 136.60 136.60 63.06
Positions (direct):
Ag  0.000  0.000  0.000
Ag  0.750  0.250  0.500
C  0.250  0.750  0.500
C  0.500  0.500  0.000
I  0.188  0.625  0.063
I  0.375  0.438  0.563
I  0.562  0.125  0.937
I  0.875  0.812  0.437

## Properties
* excess energy over the best structure of this formula in the dataset: 0.00 kcal/mol of atoms
* symmetry: I-42d
* N(E_F): 0.9 states/eV/cell
* ΔE_f (raw): 1.26 eV per atom
* uncorrected energy: -20.29 eV per cell
* mass density: 5.20 g/cm³

***

No. 5
First-principles (PBE) data for AgCI2 after structural relaxation, as listed in Alexandria.

Lattice parameters (Å, degrees): 5.179 5.179 5.179 60.00 60.00 60.00
Positions (direct):
Ag  0.000  0.000  0.000
C  0.500  0.500  0.500
I  0.250  0.250  0.250
I  0.750  0.750  0.750

## Properties
* excess energy over the best structure of this formula in the dataset: 11.29 kcal/mol of atoms
* symmetry: Fm-3m
* N(E_F): 3.5 states/eV/cell
* ΔE_f (raw): 1.75 eV per atom
* uncorrected energy: -8.19 eV per cell
* mass density: 6.32 g/cm³

***

No. 6
First-principles (PBE) data for AgCI3 after structural relaxation, as listed in Alexandria.

Lattice parameters (Å, degrees): 5.675 5.675 5.675 90.00 90.00 90.00
Positions (direct):
Ag  0.000  0.000  0.000
C  0.500  0.500  0.500
I  0.000  0.000  0.500
I  0.000  0.500  0.000
I  0.500  0.000  0.000

## Properties
* excess energy over the best structure of this formula in the dataset: 10.94 kcal/mol of atoms
* symmetry: Pm-3m
* N(E_F): 7.7 states/eV/cell
* ΔE_f (raw): 1.59 eV per atom
* uncorrected energy: -8.77 eV per cell
* mass density: 4.55 g/cm³

***

No. 7
First-principles (PBE) data for Ag2C2I after structural relaxation, as listed in Alexandria.

Lattice parameters (Å, degrees): 7.212 7.212 7.212 149.98 149.98 42.97
Positions (direct):
Ag  0.159  0.159  0.000
Ag  0.841  0.841  0.000
C  0.250  0.750  0.500
C  0.750  0.250  0.500
I  0.500  0.500  0.000

## Properties
* excess energy over the best structure of this formula in the dataset: 17.98 kcal/mol of atoms
* symmetry: I4/mmm
* N(E_F): 3.3 states/eV/cell
* ΔE_f (raw): 1.92 eV per atom
* uncorrected energy: -16.08 eV per cell
* mass density: 6.50 g/cm³

***

No. 8
First-principles (PBE) data for Ag2C2I after structural relaxation, as listed in Alexandria.

Lattice parameters (Å, degrees): 7.794 7.794 3.519 90.00 90.00 90.00
Positions (direct):
Ag  0.139  0.361  0.000
Ag  0.361  0.861  0.000
Ag  0.639  0.139  0.000
Ag  0.861  0.639  0.000
C  0.060  0.560  0.500
C  0.440  0.060  0.500
C  0.560  0.940  0.500
C  0.940  0.440  0.500
I  0.000  0.000  0.000
I  0.500  0.500  0.000

## Properties
* excess energy over the best structure of this formula in the dataset: 0.00 kcal/mol of atoms
* symmetry: P4/mbm
* N(E_F): 4.4 states/eV/cell
* ΔE_f (raw): 1.14 eV per atom
* uncorrected energy: -39.95 eV per cell
* mass density: 5.70 g/cm³

***

Q: Which of these has the highest uncorrected energy?
A: number 5

***

Q: Look up the N(E_F) of the sixth one.
A: 7.7 states/eV/cell

***

Q: Which value of mass density does entry 5 give?
A: 6.32 g/cm³